# Ce3As6Pd20 | the Alexandria database | GGA-PBE | optimized geometry
# Energy of formation   -0.563 eV per atom
# Fermi-level density of states   1.1656 states/eV/atom
data_Ce3As6Pd20
_cell_length_a 8.9304
_cell_length_b 8.9305
_cell_length_c 8.9305
_cell_angle_alpha 60.00
_cell_angle_beta 60.00
_cell_angle_gamma 60.00
_symmetry_space_group_name_H-M 'P 1'
_symmetry_Int_Tables_number 1
loop_
_symmetry_equiv_pos_as_xyz
'x,y,z'
loop_
_atom_site_label
_atom_site_type_symbol
_atom_site_fract_x
_atom_site_fract_y
_atom_site_fract_z
_atom_site_occupancy
Ce1 Ce 0.0000 0.0000 0.0000 1
Ce2 Ce 0.7500 0.7500 0.7500 1
Ce3 Ce 0.2500 0.2500 0.2500 1
Pd1 Pd 0.0000 0.3484 0.6516 1
Pd2 Pd 0.3484 0.6516 0.0000 1
Pd3 Pd 0.8546 0.3818 0.3818 1
Pd4 Pd 0.3818 0.3818 0.8546 1
Pd5 Pd 0.6182 0.6182 0.6182 1
Pd6 Pd 0.1454 0.6182 0.6182 1
Pd7 Pd 0.6182 0.1454 0.6182 1
Pd8 Pd 0.3818 0.8546 0.3818 1
Pd9 Pd 0.0000 0.6516 0.0000 1
Pd10 Pd 0.6516 0.0000 0.3484 1
Pd11 Pd 0.3484 0.0000 0.6516 1
Pd12 Pd 0.6516 0.0000 0.0000 1
Pd13 Pd 0.6182 0.6182 0.1454 1
Pd14 Pd 0.3484 0.0000 0.0000 1
Pd15 Pd 0.0000 0.3484 0.0000 1
Pd16 Pd 0.3818 0.3818 0.3818 1
Pd17 Pd 0.0000 0.6516 0.3484 1
Pd18 Pd 0.0000 0.0000 0.6516 1
Pd19 Pd 0.6516 0.3484 0.0000 1
Pd20 Pd 0.0000 0.0000 0.3484 1
As1 As 0.2650 0.7350 0.2650 1
As2 As 0.7350 0.7350 0.2650 1
As3 As 0.2650 0.7350 0.7350 1
As4 As 0.2650 0.2650 0.7350 1
As5 As 0.7350 0.2650 0.2650 1
As6 As 0.7350 0.2650 0.7350 1

# Mn2CrRu | the Alexandria database | GGA-PBE | optimized geometry
# Energy of formation   0.146 eV per atom
# Fermi-level density of states   1.3523 states/eV/atom
data_Mn2CrRu
_cell_length_a 4.4610
_cell_length_b 4.4610
_cell_length_c 4.4362
_cell_angle_alpha 79.36
_cell_angle_beta 79.36
_cell_angle_gamma 34.19
_symmetry_space_group_name_H-M 'P 1'
_symmetry_Int_Tables_number 1
loop_
_symmetry_equiv_pos_as_xyz
'x,y,z'
loop_
_atom_site_label
_atom_site_type_symbol
_atom_site_fract_x
_atom_site_fract_y
_atom_site_fract_z
_atom_site_occupancy
Cr1 Cr 0.2500 0.2500 0.2500 1
Mn1 Mn 0.9978 0.9978 0.0044 1
Mn2 Mn 0.5022 0.5022 0.4956 1
Ru1 Ru 0.7500 0.7500 0.7500 1

# Na5PrTe4 | the Alexandria database | GGA-PBE | optimized geometry
# Formation energy without anion corrections   -1031 meV per atom
# Fermi-level density of states   0.0000 states/eV/atom
data_Na5PrTe4
_cell_length_a 4.8924
_cell_length_b 7.9554
_cell_length_c 9.8238
_cell_angle_alpha 94.36
_cell_angle_beta 104.42
_cell_angle_gamma 90.00
_symmetry_space_group_name_H-M 'P 1'
_symmetry_Int_Tables_number 1
loop_
_symmetry_equiv_pos_as_xyz
'x,y,z'
loop_
_atom_site_label
_atom_site_type_symbol
_atom_site_fract_x
_atom_site_fract_y
_atom_site_fract_z
_atom_site_occupancy
Te1 Te 0.6507 0.8376 0.3014 1
Te2 Te 0.0485 0.2591 0.0971 1
Te3 Te 0.9515 0.7408 0.9029 1
Te4 Te 0.3493 0.1624 0.6986 1
Na1 Na 0.5000 0.5000 0.0000 1
Na2 Na 0.8796 0.3743 0.7592 1
Na3 Na 0.8141 0.9217 0.6282 1
Na4 Na 0.1204 0.6257 0.2408 1
Na5 Na 0.1859 0.0783 0.3718 1
Pr1 Pr 0.5000 0.0000 0.0000 1